TlC2, relaxed, DFT GGA-PBE; energy above the lowest structure with this stoichiometry = 840 meV/atom; total magnetization = 0.656 Bohr magnetons per cell; formation energy from the elements = 1.74 eV/atom
1.0
-0.4600 -4.0053 -3.0612
1.6346 -2.5745 4.0404
-4.1496 2.8243 0.6549
Tl C
2 4
Direct
0.7500 0.7500 0.0000
0.2500 0.2500 0.0000
0.5849 0.9151 0.5000
0.9151 0.4151 0.3301
0.0849 0.5849 0.6699
0.4151 0.0849 0.5000

=====

KSe2Br, relaxed, DFT GGA-PBE; energy above the lowest structure with this stoichiometry = 594 meV/atom; total magnetization = 0.000 Bohr magnetons per cell
1.0
-1.2095 -1.5554 -2.1693
-1.9123 -1.1567 1.8956
-8.6718 10.2347 -2.5033
Br Se K
1 2 1
Direct
0.5000 0.5000 0.2500
0.0000 0.0000 0.9385
0.0000 0.0000 0.5615
0.5000 0.5000 0.7500

=====

Ba2CaI6, relaxed, DFT GGA-PBE; calculated total energy = -30.44 eV/f.u.; total magnetization = 0.000 Bohr magnetons per cell
1.0
-8.6477 -10.3125 4.9713
13.4256 -3.1764 -3.9381
2.4781 1.4362 7.2900
I Ca Ba
18 3 6
Direct
0.8761 0.0828 0.2323
0.5825 0.4551 0.2705
0.2310 0.7709 0.2573
0.1274 0.5449 0.7295
0.2067 0.1239 0.2323
0.0828 0.8761 0.7677
0.5399 0.7690 0.2573
0.5449 0.1274 0.2705
0.7690 0.5399 0.7427
0.4175 0.8726 0.7295
0.7709 0.2310 0.7427
0.2291 0.4601 0.2573
0.9172 0.7933 0.2323
0.4601 0.2291 0.7427
0.8726 0.4175 0.2705
0.1239 0.2067 0.7677
0.4551 0.5825 0.7295
0.7933 0.9172 0.7677
0.3333 0.6667 0.4936
0.0000 0.0000 0.0000
0.6667 0.3333 0.5064
0.3604 0.3604 0.0000
0.0000 0.3039 0.5000
0.6396 0.0000 0.0000
0.6961 0.6961 0.5000
0.0000 0.6396 0.0000
0.3039 0.0000 0.5000

=====

CsAg3Ge, relaxed, DFT GGA-PBE; energy above the lowest structure with this stoichiometry = 1456 meV/atom; total magnetization = 0.000 Bohr magnetons per cell; formation energy from the elements = 1.53 eV/atom
1.0
5.9126 0.0000 0.0000
0.0000 5.9126 0.0000
0.0000 0.0000 5.9126
Ag Cs Ge
3 1 1
Direct
0.0000 0.0000 0.5000
0.0000 0.5000 0.0000
0.5000 0.0000 0.0000
0.0000 0.0000 0.0000
0.5000 0.5000 0.5000

=====

Y2Ge2Au, relaxed, DFT GGA-PBE; total magnetization = 0.000 Bohr magnetons per cell; formation energy from the elements = -0.83 eV/atom
1.0
7.1095 0.0000 0.0000
0.0000 7.1095 0.0000
0.0000 0.0000 4.2862
Ge Y Au
4 4 2
Direct
0.1280 0.3720 0.0000
0.6280 0.1280 0.0000
0.8720 0.6280 0.0000
0.3720 0.8720 0.0000
0.3250 0.1750 0.5000
0.1750 0.6750 0.5000
0.6750 0.8250 0.5000
0.8250 0.3250 0.5000
0.0000 0.0000 0.0000
0.5000 0.5000 0.0000

=====

Hg4AuI3, relaxed, DFT GGA-PBE; energy above the lowest structure with this stoichiometry = 16 meV/atom; total magnetization = 0.000 Bohr magnetons per cell
1.0
6.8583 0.0000 0.0000
0.0000 7.1593 0.0000
0.0000 0.0000 14.8917
Hg I Au
8 6 2
Direct
0.3120 0.3117 0.3337
0.7274 0.2936 0.0000
0.6880 0.8117 0.8337
0.8580 0.6659 0.0000
0.6880 0.8117 0.1663
0.1420 0.1659 0.5000
0.3120 0.3117 0.6663
0.2726 0.7936 0.5000
0.6568 0.6524 0.6609
0.2720 0.6498 0.0000
0.3432 0.1524 0.8391
0.7280 0.1498 0.5000
0.3432 0.1524 0.1609
0.6568 0.6524 0.3391
0.4503 0.4471 0.5000
0.5497 0.9471 0.0000

=====

CrSBr2, relaxed, DFT GGA-PBE; energy above the lowest structure with this stoichiometry = 718 meV/atom; total magnetization = 0.000 Bohr magnetons per cell
1.0
1.7663 0.0000 11.6209
-0.8832 1.5297 11.6209
-0.8832 -1.5297 11.6209
Br S Cr
2 1 1
Direct
0.9349 0.9349 0.9349
0.0651 0.0651 0.0651
0.5000 0.5000 0.5000
0.0000 0.0000 0.0000

=====

Ti2Cu2Ni, relaxed, DFT GGA-PBE; energy above the lowest structure with this stoichiometry = 0 meV/atom; total magnetization = 0.000 Bohr magnetons per cell; formation energy from the elements = -0.11 eV/atom
1.0
-1.5295 4.0323 -1.7556
-3.9258 2.9437 4.0067
-0.8160 5.5189 7.2123
Cu Ti Ni
4 4 2
Direct
0.3050 0.9734 0.6355
0.6950 0.0266 0.3645
0.0861 0.4734 0.1355
0.9139 0.5266 0.8645
0.5172 0.1864 0.0202
0.2762 0.6864 0.5202
0.7238 0.3136 0.4798
0.4828 0.8136 0.9798
0.9223 0.2500 0.7500
0.0777 0.7500 0.2500

=====

TmCuSi2Ni2, relaxed, DFT GGA-PBE; calculated total energy = -31.12 eV/f.u.; total magnetization = 0.000 Bohr magnetons per cell
1.0
4.2993 0.0000 0.0000
0.0000 4.2993 0.0000
0.0000 0.0000 5.1924
Ni Tm Si Cu
2 1 2 1
Direct
0.5000 0.5000 0.7515
0.5000 0.5000 0.2485
0.0000 0.0000 0.5000
0.0000 0.5000 0.0000
0.5000 0.0000 0.0000
0.0000 0.0000 0.0000

=====

CeZnCd, relaxed, DFT GGA-PBE; total magnetization = 0.228 Bohr magnetons per cell; formation energy from the elements = -0.12 eV/atom
1.0
-1.8813 -3.9696 -1.8351
1.5443 -1.6495 -4.1903
2.5823 -3.9954 -0.1799
Ce Zn Cd
1 1 1
Direct
0.0000 0.0000 0.0000
0.2500 0.2500 0.2500
0.5000 0.5000 0.5000

=====

Rb2InNiI6, relaxed, DFT GGA-PBE; calculated total energy = -27.04 eV/f.u.; total magnetization = 1.028 Bohr magnetons per cell
1.0
8.2388 0.0000 0.0000
0.0000 8.2388 0.0000
4.1194 4.1194 5.8292
I Rb In Ni
6 2 1 1
Direct
0.7362 0.2638 0.0000
0.2638 0.7362 0.0000
0.2635 0.2635 0.4731
0.2638 0.2638 0.0000
0.7362 0.7362 0.0000
0.7365 0.7365 0.5269
0.2500 0.7500 0.5000
0.7500 0.2500 0.5000
0.0000 0.0000 0.0000
0.5000 0.5000 0.0000

=====

Li5Hg2Pd5, relaxed, DFT GGA-PBE; total magnetization = 0.000 Bohr magnetons per cell; formation energy from the elements = -0.38 eV/atom
1.0
-0.8580 1.2903 4.0826
-6.6961 -1.1739 1.2991
3.2428 -4.5289 4.4482
Pd Li Hg
5 5 2
Direct
0.3220 0.0047 0.3513
0.6780 0.9953 0.6487
0.6534 0.7685 0.9247
0.0000 0.5000 0.5000
0.3466 0.2315 0.0753
0.9982 0.7577 0.2459
0.0000 0.0000 0.0000
0.6830 0.2353 0.3986
0.3170 0.7647 0.6014
0.0018 0.2423 0.7541
0.6407 0.5214 0.1972
0.3593 0.4786 0.8028